Compound: Sr3LiRh
Source: Alexandria via LeMat-Bulk
Functional: GGA-PBE
Structure: relaxed

Lattice parameters (Å, degrees): 7.208 7.683 7.734 65.47 80.81 68.09
Atoms (fractional coordinates):
Sr 0.000 0.000 0.000
Sr 0.007 0.546 0.849
Sr 0.018 0.217 0.438
Sr 0.446 0.460 0.145
Sr 0.495 0.027 0.795
Sr 0.593 0.836 0.383
Li 0.184 0.762 0.434
Li 0.507 0.457 0.735
Rh 0.274 0.804 0.730
Rh 0.282 0.153 0.108

Computed properties:
The density of states at the Fermi level is 4.7 states/eV/cell. The calculated formation energy is -0.13 eV/atom. The calculation puts the offset from the most stable computed form at 0.020 eV/atom. The total energy comes out at -2.99 eV/atom.